1.
! PBE-GGA ZrIr, relaxed; values from VASP
! V: 35.98 Å³/f.u.
! Fermi-level density of states: 0.809 states/eV/atom
! space-group type: Imma (74)
! total energy: -37.5 eV for the cell shown
&SYSTEM
  ibrav = 0, nat = 4, ntyp = 2
/
ATOMIC_SPECIES
Zr 91.22 Zr.upf
Ir 192.22 Ir.upf
CELL_PARAMETERS angstrom
-1.902 2.057 4.599
1.902 -2.057 4.599
1.902 2.057 -4.599
ATOMIC_POSITIONS crystal
Zr 0.374 0.124 0.250
Zr 0.626 0.876 0.750
Ir 0.129 0.379 0.750
Ir 0.871 0.621 0.250

---

2.
! PBE-GGA Zr3Ir, relaxed; values from VASP
! V: 86.21 Å³/f.u.
! Fermi-level density of states: 1.227 states/eV/atom
! space-group type: Pnma (62)
! total energy: -145.3 eV for the cell shown
&SYSTEM
  ibrav = 0, nat = 16, ntyp = 2
/
ATOMIC_SPECIES
Zr 91.22 Zr.upf
Ir 192.22 Ir.upf
CELL_PARAMETERS angstrom
6.311 0.000 0.000
0.000 9.307 0.000
0.000 0.000 5.872
ATOMIC_POSITIONS crystal
Zr 0.034 0.250 0.165
Zr 0.204 0.052 0.633
Zr 0.204 0.448 0.633
Zr 0.296 0.552 0.133
Zr 0.296 0.948 0.133
Zr 0.466 0.750 0.665
Zr 0.534 0.250 0.335
Zr 0.704 0.052 0.867
Zr 0.704 0.448 0.867
Zr 0.796 0.552 0.367
Zr 0.796 0.948 0.367
Zr 0.966 0.750 0.835
Ir 0.112 0.750 0.398
Ir 0.388 0.250 0.898
Ir 0.612 0.750 0.102
Ir 0.888 0.250 0.602

---

3.
! PBE-GGA ZrIr, relaxed; values from VASP
! V: 64.33 Å³/f.u.
! Fermi-level density of states: 0.999 states/eV/atom
! space-group type: I-43m (217)
! total energy: -66.4 eV for the cell shown
&SYSTEM
  ibrav = 0, nat = 8, ntyp = 2
/
ATOMIC_SPECIES
Zr 91.22 Zr.upf
Ir 192.22 Ir.upf
CELL_PARAMETERS angstrom
-4.007 4.007 4.007
4.007 -4.007 4.007
4.007 4.007 -4.007
ATOMIC_POSITIONS crystal
Zr 0.000 0.000 0.618
Zr 0.000 0.618 0.000
Zr 0.382 0.382 0.382
Zr 0.618 0.000 0.000
Ir 0.000 0.000 0.253
Ir 0.000 0.253 0.000
Ir 0.253 0.000 0.000
Ir 0.747 0.747 0.747

---

4.
! PBE-GGA ZrIr4, relaxed; values from VASP
! V: 108.37 Å³/f.u.
! Fermi-level density of states: 1.628 states/eV/atom
! space-group type: Pm-3m (221)
! energy relative to the lowest polymorph listed for this composition: 2534 meV/atom
&SYSTEM
  ibrav = 0, nat = 5, ntyp = 2
/
ATOMIC_SPECIES
Zr 91.22 Zr.upf
Ir 192.22 Ir.upf
CELL_PARAMETERS angstrom
4.768 0.000 0.000
0.000 4.768 0.000
0.000 0.000 4.768
ATOMIC_POSITIONS crystal
Zr 0.000 0.000 0.000
Ir 0.000 0.000 0.500
Ir 0.000 0.500 0.000
Ir 0.500 0.000 0.000
Ir 0.500 0.500 0.500

---

5.
! PBE-GGA ZrIr4, relaxed; values from VASP
! V: 86.43 Å³/f.u.
! Fermi-level density of states: 0.916 states/eV/atom
! space-group type: I4/mmm (139)
! energy relative to the lowest polymorph listed for this composition: 269 meV/atom
&SYSTEM
  ibrav = 0, nat = 5, ntyp = 2
/
ATOMIC_SPECIES
Zr 91.22 Zr.upf
Ir 192.22 Ir.upf
CELL_PARAMETERS angstrom
-1.873 1.873 6.157
1.873 -1.873 6.157
1.873 1.873 -6.157
ATOMIC_POSITIONS crystal
Zr 0.000 0.000 0.000
Ir 0.250 0.750 0.500
Ir 0.402 0.402 0.000
Ir 0.598 0.598 0.000
Ir 0.750 0.250 0.500

---

6.
! PBE-GGA Zr3Ir4, relaxed; values from VASP
! V: 130.13 Å³/f.u.
! Fermi-level density of states: 0.998 states/eV/atom
! space-group type: I4/mmm (139)
! energy relative to the lowest polymorph listed for this composition: 359 meV/atom
&SYSTEM
  ibrav = 0, nat = 7, ntyp = 2
/
ATOMIC_SPECIES
Zr 91.22 Zr.upf
Ir 192.22 Ir.upf
CELL_PARAMETERS angstrom
-1.801 1.801 10.032
1.801 -1.801 10.032
1.801 1.801 -10.032
ATOMIC_POSITIONS crystal
Zr 0.000 0.000 0.000
Zr 0.301 0.301 0.000
Zr 0.699 0.699 0.000
Ir 0.156 0.156 0.000
Ir 0.433 0.433 0.000
Ir 0.567 0.567 0.000
Ir 0.844 0.844 0.000

---

7.
! PBE-GGA ZrIr, relaxed; values from VASP
! V: 37.48 Å³/f.u.
! Fermi-level density of states: 0.702 states/eV/atom
! space-group type: Cm (8)
! total energy: -56.4 eV for the cell shown
&SYSTEM
  ibrav = 0, nat = 6, ntyp = 2
/
ATOMIC_SPECIES
Zr 91.22 Zr.upf
Ir 192.22 Ir.upf
CELL_PARAMETERS angstrom
5.150 -1.606 0.000
5.150 1.606 0.000
-3.442 0.000 6.797
ATOMIC_POSITIONS crystal
Zr 0.000 0.000 0.000
Zr 0.618 0.618 0.710
Zr 0.788 0.788 0.375
Ir 0.055 0.055 0.377
Ir 0.280 0.280 0.054
Ir 0.343 0.343 0.697

---

8.
! PBE-GGA ZrIr, relaxed; values from VASP
! V: 40.53 Å³/f.u.
! Fermi-level density of states: 0.503 states/eV/atom
! space-group type: P6_3/mmc (194)
! total energy: -37.8 eV for the cell shown
&SYSTEM
  ibrav = 0, nat = 4, ntyp = 2
/
ATOMIC_SPECIES
Zr 91.22 Zr.upf
Ir 192.22 Ir.upf
CELL_PARAMETERS angstrom
4.107 0.000 0.000
-2.054 3.557 0.000
0.000 0.000 5.548
ATOMIC_POSITIONS crystal
Zr 0.333 0.667 0.250
Zr 0.667 0.333 0.750
Ir 0.000 0.000 0.000
Ir 0.000 0.000 0.500

---

9.
! PBE-GGA ZrIr2, relaxed; values from VASP
! V: 63.13 Å³/f.u.
! Fermi-level density of states: 0.835 states/eV/atom
! space-group type: Pa-3 (205)
! total energy: -99.8 eV for the cell shown
&SYSTEM
  ibrav = 0, nat = 12, ntyp = 2
/
ATOMIC_SPECIES
Zr 91.22 Zr.upf
Ir 192.22 Ir.upf
CELL_PARAMETERS angstrom
6.321 0.000 0.000
0.000 6.321 0.000
0.000 0.000 6.321
ATOMIC_POSITIONS crystal
Zr 0.000 0.000 0.000
Zr 0.000 0.500 0.500
Zr 0.500 0.000 0.500
Zr 0.500 0.500 0.000
Ir 0.112 0.612 0.888
Ir 0.112 0.888 0.388
Ir 0.388 0.112 0.888
Ir 0.388 0.388 0.388
Ir 0.612 0.612 0.612
Ir 0.612 0.888 0.112
Ir 0.888 0.112 0.612
Ir 0.888 0.388 0.112

---

10.
! PBE-GGA Zr3Ir, relaxed; values from VASP
! V: 85.86 Å³/f.u.
! Fermi-level density of states: 1.337 states/eV/atom
! space-group type: P-6m2 (187)
! total energy: -35.1 eV for the cell shown
&SYSTEM
  ibrav = 0, nat = 4, ntyp = 2
/
ATOMIC_SPECIES
Zr 91.22 Zr.upf
Ir 192.22 Ir.upf
CELL_PARAMETERS angstrom
3.285 0.000 0.000
-1.643 2.845 0.000
0.000 0.000 9.186
ATOMIC_POSITIONS crystal
Zr 0.000 0.000 0.000
Zr 0.333 0.667 0.281
Zr 0.333 0.667 0.719
Ir 0.000 0.000 0.500

---

11.
! PBE-GGA ZrIr, relaxed; values from VASP
! V: 36.14 Å³/f.u.
! Fermi-level density of states: 0.746 states/eV/atom
! space-group type: P4/mmm (123)
! total energy: -19.0 eV for the cell shown
&SYSTEM
  ibrav = 0, nat = 2, ntyp = 2
/
ATOMIC_SPECIES
Zr 91.22 Zr.upf
Ir 192.22 Ir.upf
CELL_PARAMETERS angstrom
3.430 0.000 0.000
0.000 3.430 0.000
0.000 0.000 3.072
ATOMIC_POSITIONS crystal
Zr 0.000 0.000 0.000
Ir 0.500 0.500 0.500

---

12.
! PBE-GGA ZrIr5, relaxed; values from VASP
! V: 92.79 Å³/f.u.
! Fermi-level density of states: 0.934 states/eV/atom
! space-group type: Cm (8)
! total energy: -54.4 eV for the cell shown
&SYSTEM
  ibrav = 0, nat = 6, ntyp = 2
/
ATOMIC_SPECIES
Zr 91.22 Zr.upf
Ir 192.22 Ir.upf
CELL_PARAMETERS angstrom
5.102 -1.409 0.000
5.102 1.409 0.000
-1.651 0.000 6.453
ATOMIC_POSITIONS crystal
Zr 0.000 0.000 0.000
Ir 0.275 0.275 0.052
Ir 0.336 0.336 0.665
Ir 0.616 0.616 0.717
Ir 0.670 0.670 0.329
Ir 0.949 0.949 0.397

---

13.
! PBE-GGA ZrIr2, relaxed; values from VASP
! V: 50.06 Å³/f.u.
! Fermi-level density of states: 0.789 states/eV/atom
! space-group type: Cm (8)
! total energy: -55.0 eV for the cell shown
&SYSTEM
  ibrav = 0, nat = 6, ntyp = 2
/
ATOMIC_SPECIES
Zr 91.22 Zr.upf
Ir 192.22 Ir.upf
CELL_PARAMETERS angstrom
5.156 -1.468 0.000
5.156 1.468 0.000
-1.609 0.000 6.615
ATOMIC_POSITIONS crystal
Zr 0.000 0.000 0.000
Zr 0.699 0.699 0.361
Ir 0.280 0.280 0.058
Ir 0.353 0.353 0.678
Ir 0.630 0.630 0.727
Ir 0.972 0.972 0.403

---

14.
! PBE-GGA ZrIr5, relaxed; values from VASP
! V: 92.86 Å³/f.u.
! Fermi-level density of states: 0.959 states/eV/atom
! space-group type: P4/mmm (123)
! total energy: -53.8 eV for the cell shown
&SYSTEM
  ibrav = 0, nat = 6, ntyp = 2
/
ATOMIC_SPECIES
Zr 91.22 Zr.upf
Ir 192.22 Ir.upf
CELL_PARAMETERS angstrom
2.796 0.000 0.000
0.000 2.796 0.000
0.000 0.000 11.879
ATOMIC_POSITIONS crystal
Zr 0.000 0.000 0.000
Ir 0.000 0.000 0.340
Ir 0.000 0.000 0.660
Ir 0.500 0.500 0.180
Ir 0.500 0.500 0.500
Ir 0.500 0.500 0.820

---

15.
! PBE-GGA ZrIr2, relaxed; values from VASP
! V: 54.46 Å³/f.u.
! Fermi-level density of states: 0.711 states/eV/atom
! space-group type: Imma (74)
! total energy: -54.8 eV for the cell shown
&SYSTEM
  ibrav = 0, nat = 6, ntyp = 2
/
ATOMIC_SPECIES
Zr 91.22 Zr.upf
Ir 192.22 Ir.upf
CELL_PARAMETERS angstrom
-1.486 2.131 8.603
1.486 -2.131 8.603
1.486 2.131 -8.603
ATOMIC_POSITIONS crystal
Zr 0.370 0.120 0.250
Zr 0.630 0.880 0.750
Ir 0.061 0.311 0.750
Ir 0.213 0.463 0.750
Ir 0.787 0.537 0.250
Ir 0.939 0.689 0.250

---

16.
! PBE-GGA Zr3Ir, relaxed; values from VASP
! V: 80.98 Å³/f.u.
! Fermi-level density of states: 1.471 states/eV/atom
! space-group type: P6_3/mmc (194)
! total energy: -142.1 eV for the cell shown
&SYSTEM
  ibrav = 0, nat = 16, ntyp = 2
/
ATOMIC_SPECIES
Zr 91.22 Zr.upf
Ir 192.22 Ir.upf
CELL_PARAMETERS angstrom
5.957 0.000 0.000
-2.979 5.159 0.000
0.000 0.000 10.539
ATOMIC_POSITIONS crystal
Zr 0.000 0.500 0.000
Zr 0.000 0.500 0.500
Zr 0.161 0.322 0.250
Zr 0.161 0.839 0.250
Zr 0.322 0.161 0.750
Zr 0.500 0.000 0.000
Zr 0.500 0.000 0.500
Zr 0.500 0.500 0.000
Zr 0.500 0.500 0.500
Zr 0.678 0.839 0.250
Zr 0.839 0.161 0.750
Zr 0.839 0.678 0.750
Ir 0.000 0.000 0.000
Ir 0.000 0.000 0.500
Ir 0.333 0.667 0.750
Ir 0.667 0.333 0.250

---

17.
! PBE-GGA ZrIr2, relaxed; values from VASP
! V: 49.62 Å³/f.u.
! Fermi-level density of states: 0.607 states/eV/atom
! space-group type: I4_1/amd (141)
! total energy: -114.3 eV for the cell shown
&SYSTEM
  ibrav = 0, nat = 12, ntyp = 2
/
ATOMIC_SPECIES
Zr 91.22 Zr.upf
Ir 192.22 Ir.upf
CELL_PARAMETERS angstrom
-1.992 1.992 12.502
1.992 -1.992 12.502
1.992 1.992 -12.502
ATOMIC_POSITIONS crystal
Zr 0.298 0.548 0.750
Zr 0.452 0.702 0.750
Zr 0.548 0.298 0.250
Zr 0.702 0.452 0.250
Ir 0.043 0.793 0.250
Ir 0.125 0.375 0.750
Ir 0.207 0.957 0.250
Ir 0.375 0.125 0.250
Ir 0.625 0.875 0.750
Ir 0.793 0.043 0.750
Ir 0.875 0.625 0.250
Ir 0.957 0.207 0.750

---

18.
! PBE-GGA Zr7Ir6, relaxed; values from VASP
! V: 249.67 Å³/f.u.
! Fermi-level density of states: 1.016 states/eV/atom
! space-group type: R-3m (166)
! total energy: -111.7 eV for the cell shown
&SYSTEM
  ibrav = 0, nat = 13, ntyp = 2
/
ATOMIC_SPECIES
Zr 91.22 Zr.upf
Ir 192.22 Ir.upf
CELL_PARAMETERS angstrom
2.866 1.655 8.773
-2.866 1.655 8.773
0.000 -3.310 8.773
ATOMIC_POSITIONS crystal
Zr 0.000 0.000 0.000
Zr 0.087 0.087 0.577
Zr 0.087 0.577 0.087
Zr 0.423 0.913 0.913
Zr 0.577 0.087 0.087
Zr 0.913 0.423 0.913
Zr 0.913 0.913 0.423
Ir 0.166 0.166 0.166
Ir 0.339 0.339 0.339
Ir 0.451 0.451 0.451
Ir 0.549 0.549 0.549
Ir 0.661 0.661 0.661
Ir 0.834 0.834 0.834

---

19.
! PBE-GGA Zr4Ir5, relaxed; values from VASP
! V: 160.17 Å³/f.u.
! Fermi-level density of states: 0.698 states/eV/atom
! space-group type: P6_3/mcm (193)
! energy relative to the lowest polymorph listed for this composition: 60 meV/atom
&SYSTEM
  ibrav = 0, nat = 18, ntyp = 2
/
ATOMIC_SPECIES
Zr 91.22 Zr.upf
Ir 192.22 Ir.upf
CELL_PARAMETERS angstrom
8.072 0.000 0.000
-4.036 6.990 0.000
0.000 0.000 5.677
ATOMIC_POSITIONS crystal
Zr 0.000 0.000 0.000
Zr 0.000 0.000 0.500
Zr 0.000 0.367 0.250
Zr 0.000 0.633 0.750
Zr 0.367 0.000 0.250
Zr 0.367 0.367 0.750
Zr 0.633 0.000 0.750
Zr 0.633 0.633 0.250
Ir 0.000 0.305 0.750
Ir 0.000 0.695 0.250
Ir 0.305 0.000 0.750
Ir 0.305 0.305 0.250
Ir 0.333 0.667 0.000
Ir 0.333 0.667 0.500
Ir 0.667 0.333 0.000
Ir 0.667 0.333 0.500
Ir 0.695 0.000 0.250
Ir 0.695 0.695 0.750

---

20.
! PBE-GGA Zr3Ir, relaxed; values from VASP
! V: 83.56 Å³/f.u.
! Fermi-level density of states: 1.271 states/eV/atom
! space-group type: P4_2/nbc (133)
! total energy: -292.7 eV for the cell shown
&SYSTEM
  ibrav = 0, nat = 32, ntyp = 2
/
ATOMIC_SPECIES
Zr 91.22 Zr.upf
Ir 192.22 Ir.upf
CELL_PARAMETERS angstrom
10.857 0.000 0.000
0.000 10.857 0.000
0.000 0.000 5.671
ATOMIC_POSITIONS crystal
Zr 0.041 0.041 0.250
Zr 0.041 0.459 0.750
Zr 0.102 0.750 0.000
Zr 0.154 0.154 0.750
Zr 0.154 0.346 0.250
Zr 0.250 0.602 0.500
Zr 0.250 0.898 0.500
Zr 0.346 0.154 0.250
Zr 0.346 0.346 0.750
Zr 0.398 0.750 0.000
Zr 0.459 0.041 0.750
Zr 0.459 0.459 0.250
Zr 0.541 0.541 0.750
Zr 0.541 0.959 0.250
Zr 0.602 0.250 0.000
Zr 0.654 0.654 0.250
Zr 0.654 0.846 0.750
Zr 0.750 0.102 0.500
Zr 0.750 0.398 0.500
Zr 0.846 0.654 0.750
Zr 0.846 0.846 0.250
Zr 0.898 0.250 0.000
Zr 0.959 0.541 0.250
Zr 0.959 0.959 0.750
Ir 0.045 0.750 0.500
Ir 0.250 0.545 0.000
Ir 0.250 0.955 0.000
Ir 0.455 0.750 0.500
Ir 0.545 0.250 0.500
Ir 0.750 0.045 0.000
Ir 0.750 0.455 0.000
Ir 0.955 0.250 0.500

---

21.
! PBE-GGA ZrIr, relaxed; values from VASP
! V: 36.98 Å³/f.u.
! Fermi-level density of states: 1.215 states/eV/atom
! space-group type: R-3m (166)
! total energy: -34.8 eV for the cell shown
&SYSTEM
  ibrav = 0, nat = 4, ntyp = 2
/
ATOMIC_SPECIES
Zr 91.22 Zr.upf
Ir 192.22 Ir.upf
CELL_PARAMETERS angstrom
1.520 0.878 9.238
-1.520 0.878 9.238
0.000 -1.755 9.238
ATOMIC_POSITIONS crystal
Zr 0.119 0.119 0.119
Zr 0.881 0.881 0.881
Ir 0.375 0.375 0.375
Ir 0.625 0.625 0.625

---

22.
! PBE-GGA ZrIr, relaxed; values from VASP
! V: 66.06 Å³/f.u.
! Fermi-level density of states: 1.550 states/eV/atom
! space-group type: Pm-3n (223)
! total energy: -98.3 eV for the cell shown
&SYSTEM
  ibrav = 0, nat = 12, ntyp = 2
/
ATOMIC_SPECIES
Zr 91.22 Zr.upf
Ir 192.22 Ir.upf
CELL_PARAMETERS angstrom
7.346 0.000 0.000
0.000 7.346 0.000
0.000 0.000 7.346
ATOMIC_POSITIONS crystal
Zr 0.000 0.250 0.500
Zr 0.000 0.750 0.500
Zr 0.250 0.500 0.000
Zr 0.500 0.000 0.250
Zr 0.500 0.000 0.750
Zr 0.750 0.500 0.000
Ir 0.000 0.500 0.250
Ir 0.000 0.500 0.750
Ir 0.250 0.000 0.500
Ir 0.500 0.250 0.000
Ir 0.500 0.750 0.000
Ir 0.750 0.000 0.500